Entry 1:
## Ba2Si2BiAu6 (PBE)

Data for a relaxed Ba2Si2BiAu6 crystal.

Output
E_form (uncorrected): -36.9 kJ per mole of atoms

Unit cell a=9.8100 b=9.8100 c=9.8100 alpha=39.89 beta=39.89 gamma=39.89
Positions (direct):
Ba 0.2059 0.2059 0.2059
Ba 0.7941 0.7941 0.7941
Si 0.4570 0.4570 0.4570
Si 0.5430 0.5430 0.5430
Bi 0.0000 0.0000 0.0000
Au 0.2014 0.7663 0.7663
Au 0.2337 0.2337 0.7986
Au 0.2337 0.7985 0.2337
Au 0.7663 0.2014 0.7663
Au 0.7663 0.7663 0.2014
Au 0.7985 0.2337 0.2337

---

Entry 2:
## Ba2SnBi3Au4 (PBE)

Data for a relaxed Ba2SnBi3Au4 crystal.

Output
ΔE_f: -0.53 eV/atom

Unit cell a=5.0407 b=5.0407 c=11.5378 alpha=90.00 beta=90.00 gamma=90.00
Positions (direct):
Ba 0.0000 0.5000 0.2377
Ba 0.5000 0.0000 0.7623
Sn 0.0000 0.0000 0.5000
Bi 0.0000 0.5000 0.8722
Bi 0.5000 0.0000 0.1278
Bi 0.5000 0.5000 0.5000
Au 0.0000 0.0000 0.0000
Au 0.0000 0.5000 0.6260
Au 0.5000 0.0000 0.3740
Au 0.5000 0.5000 0.0000

---

Entry 3:
## Ba2SnBiAu (PBE)

Data for a relaxed Ba2SnBiAu crystal.

Output
ΔE_f: -0.29 eV/atom

Unit cell a=6.1637 b=6.1637 c=5.6471 alpha=90.00 beta=90.00 gamma=90.00
Positions (direct):
Ba 0.0000 0.5000 0.0000
Ba 0.5000 0.0000 0.0000
Sn 0.0000 0.0000 0.5000
Bi 0.5000 0.5000 0.5000
Au 0.5000 0.5000 0.0000

---

Entry 4:
## BaTa2BiAu (PBE)

Data for a relaxed BaTa2BiAu crystal.

Output
Relative energy among the computed polymorphs: 1.369 eV per atom
ΔE_f: 2.44 eV/atom

Unit cell a=5.2258 b=5.2258 c=5.5864 alpha=90.00 beta=90.00 gamma=90.00
Positions (direct):
Ba 0.0000 0.0000 0.0000
Ta 0.0000 0.5000 0.0000
Ta 0.5000 0.0000 0.0000
Bi 0.5000 0.5000 0.5000
Au 0.0000 0.0000 0.5000

---

Calculated final energy in order - -3.8582 -3.7856 -3.2916 -4.1139 eV per atom